No. 1
Compound: TlSeN2F
Source: the Alexandria database
Functional: GGA-PBE
Structure: relaxed

Lattice parameters (Å, degrees): 4.463 4.463 5.808 90.00 90.00 90.00
Space group P4/mmm (No. 123)
One atom of each set of equivalent atoms:
Tl: 0.000 0.000 0.000 [1 per cell]
Se: 0.000 0.000 0.500 [1 per cell]
N: 0.000 0.500 0.000 [2 per cell]
F: 0.500 0.500 0.500 [1 per cell]

Values from the calculation:
N(E_F)   0.4308 states/eV/atom
Electronic total energy   -15.51 eV per formula unit

No. 2
Compound: TlSe2NF
Source: the Alexandria database
Functional: GGA-PBE
Structure: relaxed

Lattice parameters (Å, degrees): 5.620 5.620 4.398 90.00 90.00 90.00
Space group P4/mmm (No. 123)
One atom of each set of equivalent atoms:
Tl: 0.000 0.000 0.000 [1 per cell]
Se: 0.000 0.500 0.000 [2 per cell]
N: 0.000 0.000 0.500 [1 per cell]
F: 0.500 0.500 0.500 [1 per cell]

Values from the calculation:
N(E_F)   0.4409 states/eV/atom
Electronic total energy   -13.52 eV per formula unit